Record 1
# AlPRu2 | the Alexandria database | GGA-PBE | relaxed
data_AlPRu2
_space_group_name_H-M_alt 'P 1'
_space_group_IT_number 1
_cell_length_a 4.184
_cell_length_b 4.184
_cell_length_c 4.184
_cell_angle_alpha 60.00
_cell_angle_beta 60.00
_cell_angle_gamma 60.00
loop_
_space_group_symop_operation_xyz
'x,y,z'
loop_
_atom_site_label
_atom_site_fract_x
_atom_site_fract_y
_atom_site_fract_z
Ru1 0.250 0.250 0.250
Ru2 0.750 0.750 0.750
Al1 0.000 0.000 0.000
P1 0.500 0.500 0.500
# DOS at the Fermi energy: 0.7 states/eV/cell
# space group: Fm-3m (225)
# energy relative to the lowest polymorph listed for this composition: 0.0859 eV per atom
# ΔE_f: -11.22 kcal/mol of atoms


Record 2
# Al2PRu | the Alexandria database | GGA-PBE | relaxed
data_Al2PRu
_space_group_name_H-M_alt 'P 1'
_space_group_IT_number 1
_cell_length_a 4.258
_cell_length_b 4.258
_cell_length_c 3.136
_cell_angle_alpha 90.00
_cell_angle_beta 90.00
_cell_angle_gamma 90.00
loop_
_space_group_symop_operation_xyz
'x,y,z'
loop_
_atom_site_label
_atom_site_fract_x
_atom_site_fract_y
_atom_site_fract_z
Ru1 0.000 0.500 0.500
Al1 0.000 0.000 0.000
Al2 0.500 0.500 0.000
P1 0.500 0.000 0.500
# DOS at the Fermi energy: 1.0 states/eV/cell
# space group: P4/mmm (123)
# ΔE_f: -5.75 kcal/mol of atoms


Record 3
# AlP2Ru | the Alexandria database | GGA-PBE | relaxed
data_AlP2Ru
_space_group_name_H-M_alt 'P 1'
_space_group_IT_number 1
_cell_length_a 3.005
_cell_length_b 3.777
_cell_length_c 5.055
_cell_angle_alpha 90.00
_cell_angle_beta 90.00
_cell_angle_gamma 90.00
loop_
_space_group_symop_operation_xyz
'x,y,z'
loop_
_atom_site_label
_atom_site_fract_x
_atom_site_fract_y
_atom_site_fract_z
Ru1 0.000 0.000 0.428
Al1 0.500 0.500 0.813
P1 0.000 0.000 0.942
P2 0.500 0.500 0.318
# DOS at the Fermi energy: 2.4 states/eV/cell
# space group: Pmm2 (25)
# ΔE_f: -2.91 kcal/mol of atoms


Record 4
# Al2PRu | the Alexandria database | GGA-PBE | relaxed
data_Al2PRu
_space_group_name_H-M_alt 'P 1'
_space_group_IT_number 1
_cell_length_a 3.313
_cell_length_b 3.310
_cell_length_c 5.276
_cell_angle_alpha 90.00
_cell_angle_beta 90.00
_cell_angle_gamma 90.00
loop_
_space_group_symop_operation_xyz
'x,y,z'
loop_
_atom_site_label
_atom_site_fract_x
_atom_site_fract_y
_atom_site_fract_z
Ru1 0.500 0.500 0.777
Al1 0.000 0.000 0.978
Al2 0.500 0.500 0.271
P1 0.000 0.000 0.474
# DOS at the Fermi energy: 2.7 states/eV/cell
# space group: P4mm (99)
# ΔE_f: -4.63 kcal/mol of atoms


Record 5
# Al3PRu2 | the Alexandria database | GGA-PBE | relaxed
data_Al3PRu2
_space_group_name_H-M_alt 'P 1'
_space_group_IT_number 1
_cell_length_a 5.166
_cell_length_b 5.166
_cell_length_c 7.361
_cell_angle_alpha 90.00
_cell_angle_beta 90.00
_cell_angle_gamma 120.00
loop_
_space_group_symop_operation_xyz
'x,y,z'
loop_
_atom_site_label
_atom_site_fract_x
_atom_site_fract_y
_atom_site_fract_z
Ru1 0.333 0.667 0.449
Ru2 0.667 0.333 0.949
Ru3 0.667 0.333 0.551
Ru4 0.333 0.667 0.051
Al1 0.825 0.650 0.250
Al2 0.350 0.175 0.250
Al3 0.825 0.175 0.250
Al4 0.175 0.350 0.750
Al5 0.650 0.825 0.750
Al6 0.175 0.825 0.750
P1 0.000 0.000 0.000
P2 0.000 0.000 0.500
# DOS at the Fermi energy: 9.0 states/eV/cell
# space group: P6_3/mmc (194)
# ΔE_f: 1.35 kcal/mol of atoms


Record 6
# Al3PRu | the Alexandria database | GGA-PBE | relaxed
data_Al3PRu
_space_group_name_H-M_alt 'P 1'
_space_group_IT_number 1
_cell_length_a 4.661
_cell_length_b 4.661
_cell_length_c 4.661
_cell_angle_alpha 90.00
_cell_angle_beta 90.00
_cell_angle_gamma 90.00
loop_
_space_group_symop_operation_xyz
'x,y,z'
loop_
_atom_site_label
_atom_site_fract_x
_atom_site_fract_y
_atom_site_fract_z
Ru1 0.000 0.000 0.000
Al1 0.000 0.500 0.000
Al2 0.000 0.000 0.500
Al3 0.500 0.000 0.000
P1 0.500 0.500 0.500
# DOS at the Fermi energy: 4.0 states/eV/cell
# space group: Pm-3m (221)
# energy relative to the lowest polymorph listed for this composition: 0.0000 eV per atom
# ΔE_f: 7.92 kcal/mol of atoms


Record 7
# AlPRu2 | the Alexandria database | GGA-PBE | relaxed
data_AlPRu2
_space_group_name_H-M_alt 'P 1'
_space_group_IT_number 1
_cell_length_a 2.881
_cell_length_b 2.881
_cell_length_c 7.693
_cell_angle_alpha 90.00
_cell_angle_beta 90.00
_cell_angle_gamma 117.36
loop_
_space_group_symop_operation_xyz
'x,y,z'
loop_
_atom_site_label
_atom_site_fract_x
_atom_site_fract_y
_atom_site_fract_z
Ru1 0.000 0.000 0.977
Ru2 0.000 0.000 0.523
Al1 0.500 0.500 0.250
P1 0.500 0.500 0.750
# DOS at the Fermi energy: 3.3 states/eV/cell
# space group: Cmmm (65)
# energy relative to the lowest polymorph listed for this composition: 0.4057 eV per atom
# ΔE_f: -3.85 kcal/mol of atoms


Record 8
# AlPRu2 | the Alexandria database | GGA-PBE | relaxed
data_AlPRu2
_space_group_name_H-M_alt 'P 1'
_space_group_IT_number 1
_cell_length_a 2.909
_cell_length_b 4.893
_cell_length_c 4.954
_cell_angle_alpha 50.27
_cell_angle_beta 90.00
_cell_angle_gamma 90.00
loop_
_space_group_symop_operation_xyz
'x,y,z'
loop_
_atom_site_label
_atom_site_fract_x
_atom_site_fract_y
_atom_site_fract_z
Ru1 0.000 0.000 0.000
Ru2 0.500 0.500 0.000
Al1 0.500 0.500 0.500
P1 0.000 0.000 0.500
# DOS at the Fermi energy: 2.3 states/eV/cell
# space group: P2/m (10)
# energy relative to the lowest polymorph listed for this composition: 0.2204 eV per atom
# ΔE_f: -8.12 kcal/mol of atoms


Record 9
# Al2PRu | the Alexandria database | GGA-PBE | relaxed
data_Al2PRu
_space_group_name_H-M_alt 'P 1'
_space_group_IT_number 1
_cell_length_a 3.207
_cell_length_b 3.208
_cell_length_c 5.338
_cell_angle_alpha 90.00
_cell_angle_beta 90.00
_cell_angle_gamma 90.00
loop_
_space_group_symop_operation_xyz
'x,y,z'
loop_
_atom_site_label
_atom_site_fract_x
_atom_site_fract_y
_atom_site_fract_z
Ru1 0.500 0.500 0.750
Al1 0.000 0.000 0.004
Al2 0.000 0.000 0.496
P1 0.500 0.500 0.250
# DOS at the Fermi energy: 1.4 states/eV/cell
# space group: P4/mmm (123)
# ΔE_f: -9.09 kcal/mol of atoms


Record 10
# AlP2Ru | the Alexandria database | GGA-PBE | relaxed
data_AlP2Ru
_space_group_name_H-M_alt 'P 1'
_space_group_IT_number 1
_cell_length_a 4.824
_cell_length_b 4.824
_cell_length_c 4.824
_cell_angle_alpha 142.59
_cell_angle_beta 123.63
_cell_angle_gamma 69.62
loop_
_space_group_symop_operation_xyz
'x,y,z'
loop_
_atom_site_label
_atom_site_fract_x
_atom_site_fract_y
_atom_site_fract_z
Ru1 0.521 0.521 0.000
Al1 0.234 0.734 0.500
P1 0.986 0.986 0.000
P2 0.759 0.259 0.500
# DOS at the Fermi energy: 2.3 states/eV/cell
# space group: Imm2 (44)
# ΔE_f: 0.37 kcal/mol of atoms


Record 11
# AlP2Ru | the Alexandria database | GGA-PBE | relaxed
data_AlP2Ru
_space_group_name_H-M_alt 'P 1'
_space_group_IT_number 1
_cell_length_a 7.243
_cell_length_b 7.243
_cell_length_c 7.243
_cell_angle_alpha 24.48
_cell_angle_beta 24.48
_cell_angle_gamma 24.48
loop_
_space_group_symop_operation_xyz
'x,y,z'
loop_
_atom_site_label
_atom_site_fract_x
_atom_site_fract_y
_atom_site_fract_z
Ru1 0.492 0.492 0.492
Al1 0.251 0.251 0.251
P1 0.006 0.006 0.006
P2 0.750 0.750 0.750
# DOS at the Fermi energy: 1.9 states/eV/cell
# space group: R3m (160)
# ΔE_f: -2.94 kcal/mol of atoms


Record 12
# Al2PRu | the Alexandria database | GGA-PBE | relaxed
data_Al2PRu
_space_group_name_H-M_alt 'P 1'
_space_group_IT_number 1
_cell_length_a 4.568
_cell_length_b 4.568
_cell_length_c 4.423
_cell_angle_alpha 83.46
_cell_angle_beta 83.46
_cell_angle_gamma 38.27
loop_
_space_group_symop_operation_xyz
'x,y,z'
loop_
_atom_site_label
_atom_site_fract_x
_atom_site_fract_y
_atom_site_fract_z
Ru1 0.756 0.756 0.752
Al1 0.010 0.010 0.980
Al2 0.248 0.248 0.260
P1 0.486 0.486 0.508
# DOS at the Fermi energy: 1.6 states/eV/cell
# space group: Cm (8)
# ΔE_f: -7.07 kcal/mol of atoms


Record 13
# Al2P2Ru | the Alexandria database | GGA-PBE | relaxed
data_Al2P2Ru
_space_group_name_H-M_alt 'P 1'
_space_group_IT_number 1
_cell_length_a 6.571
_cell_length_b 6.571
_cell_length_c 3.389
_cell_angle_alpha 90.00
_cell_angle_beta 90.00
_cell_angle_gamma 90.00
loop_
_space_group_symop_operation_xyz
'x,y,z'
loop_
_atom_site_label
_atom_site_fract_x
_atom_site_fract_y
_atom_site_fract_z
Ru1 0.000 0.000 0.000
Ru2 0.500 0.500 0.000
Al1 0.143 0.643 0.500
Al2 0.643 0.857 0.500
Al3 0.857 0.357 0.500
Al4 0.357 0.143 0.500
P1 0.334 0.834 0.000
P2 0.834 0.666 0.000
P3 0.666 0.166 0.000
P4 0.166 0.334 0.000
# DOS at the Fermi energy: 5.7 states/eV/cell
# space group: P4/mbm (127)
# energy relative to the lowest polymorph listed for this composition: 0.0000 eV per atom
# ΔE_f: -1.90 kcal/mol of atoms


Record 14
# AlPRu2 | the Alexandria database | GGA-PBE | relaxed
data_AlPRu2
_space_group_name_H-M_alt 'P 1'
_space_group_IT_number 1
_cell_length_a 5.393
_cell_length_b 4.631
_cell_length_c 4.631
_cell_angle_alpha 143.04
_cell_angle_beta 129.56
_cell_angle_gamma 62.33
loop_
_space_group_symop_operation_xyz
'x,y,z'
loop_
_atom_site_label
_atom_site_fract_x
_atom_site_fract_y
_atom_site_fract_z
Ru1 0.930 0.994 0.936
Ru2 0.336 0.753 0.583
Al1 0.444 0.498 0.946
P1 0.791 0.255 0.535
# DOS at the Fermi energy: 1.5 states/eV/cell
# space group: Cm (8)
# energy relative to the lowest polymorph listed for this composition: 0.1175 eV per atom
# ΔE_f: -10.49 kcal/mol of atoms


Record 15
# AlP2Ru | the Alexandria database | GGA-PBE | relaxed
data_AlP2Ru
_space_group_name_H-M_alt 'P 1'
_space_group_IT_number 1
_cell_length_a 4.004
_cell_length_b 3.436
_cell_length_c 4.525
_cell_angle_alpha 82.05
_cell_angle_beta 90.00
_cell_angle_gamma 90.00
loop_
_space_group_symop_operation_xyz
'x,y,z'
loop_
_atom_site_label
_atom_site_fract_x
_atom_site_fract_y
_atom_site_fract_z
Ru1 0.500 0.250 0.250
Al1 0.500 0.750 0.750
P1 0.000 0.173 0.985
P2 0.000 0.327 0.515
# DOS at the Fermi energy: 2.0 states/eV/cell
# space group: P2/m (10)
# ΔE_f: -2.48 kcal/mol of atoms


Record 16
# Al2PRu | the Alexandria database | GGA-PBE | relaxed
data_Al2PRu
_space_group_name_H-M_alt 'P 1'
_space_group_IT_number 1
_cell_length_a 3.997
_cell_length_b 3.157
_cell_length_c 4.868
_cell_angle_alpha 71.17
_cell_angle_beta 90.00
_cell_angle_gamma 90.00
loop_
_space_group_symop_operation_xyz
'x,y,z'
loop_
_atom_site_label
_atom_site_fract_x
_atom_site_fract_y
_atom_site_fract_z
Ru1 0.500 0.557 0.762
Al1 0.000 0.964 0.948
Al2 0.500 0.280 0.314
P1 0.000 0.699 0.476
# DOS at the Fermi energy: 1.4 states/eV/cell
# space group: Pm (6)
# ΔE_f: -10.74 kcal/mol of atoms


Record 17
# Al2PRu | the Alexandria database | GGA-PBE | relaxed
data_Al2PRu
_space_group_name_H-M_alt 'P 1'
_space_group_IT_number 1
_cell_length_a 4.660
_cell_length_b 4.660
_cell_length_c 4.660
_cell_angle_alpha 130.69
_cell_angle_beta 130.69
_cell_angle_gamma 72.30
loop_
_space_group_symop_operation_xyz
'x,y,z'
loop_
_atom_site_label
_atom_site_fract_x
_atom_site_fract_y
_atom_site_fract_z
Ru1 0.750 0.250 0.500
Al1 0.000 0.000 0.000
Al2 0.250 0.750 0.500
P1 0.500 0.500 0.000
# DOS at the Fermi energy: 2.7 states/eV/cell
# space group: I-4m2 (119)
# ΔE_f: -2.93 kcal/mol of atoms


Record 18
# AlPRu2 | the Alexandria database | GGA-PBE | relaxed
data_AlPRu2
_space_group_name_H-M_alt 'P 1'
_space_group_IT_number 1
_cell_length_a 5.776
_cell_length_b 5.776
_cell_length_c 5.776
_cell_angle_alpha 150.63
_cell_angle_beta 143.14
_cell_angle_gamma 47.81
loop_
_space_group_symop_operation_xyz
'x,y,z'
loop_
_atom_site_label
_atom_site_fract_x
_atom_site_fract_y
_atom_site_fract_z
Ru1 0.044 0.044 0.000
Ru2 0.783 0.283 0.500
Al1 0.457 0.457 0.000
P1 0.215 0.715 0.500
# DOS at the Fermi energy: 1.8 states/eV/cell
# space group: Imm2 (44)
# energy relative to the lowest polymorph listed for this composition: 0.0978 eV per atom
# ΔE_f: -10.95 kcal/mol of atoms


Record 19
# AlPRu2 | the Alexandria database | GGA-PBE | relaxed
data_AlPRu2
_space_group_name_H-M_alt 'P 1'
_space_group_IT_number 1
_cell_length_a 2.946
_cell_length_b 2.946
_cell_length_c 5.997
_cell_angle_alpha 90.00
_cell_angle_beta 90.00
_cell_angle_gamma 90.00
loop_
_space_group_symop_operation_xyz
'x,y,z'
loop_
_atom_site_label
_atom_site_fract_x
_atom_site_fract_y
_atom_site_fract_z
Ru1 0.000 0.000 0.985
Ru2 0.000 0.000 0.515
Al1 0.500 0.500 0.250
P1 0.500 0.500 0.750
# DOS at the Fermi energy: 0.7 states/eV/cell
# space group: P4/mmm (123)
# energy relative to the lowest polymorph listed for this composition: 0.0000 eV per atom
# ΔE_f: -13.20 kcal/mol of atoms


Record 20
# AlPRu2 | the Alexandria database | GGA-PBE | relaxed
data_AlPRu2
_space_group_name_H-M_alt 'P 1'
_space_group_IT_number 1
_cell_length_a 7.998
_cell_length_b 7.998
_cell_length_c 7.998
_cell_angle_alpha 20.80
_cell_angle_beta 20.80
_cell_angle_gamma 20.80
loop_
_space_group_symop_operation_xyz
'x,y,z'
loop_
_atom_site_label
_atom_site_fract_x
_atom_site_fract_y
_atom_site_fract_z
Ru1 0.008 0.008 0.008
Ru2 0.247 0.247 0.247
Al1 0.499 0.499 0.499
P1 0.746 0.746 0.746
# DOS at the Fermi energy: 4.6 states/eV/cell
# space group: R3m (160)
# energy relative to the lowest polymorph listed for this composition: 0.4309 eV per atom
# ΔE_f: -3.26 kcal/mol of atoms